# Ca4Br SCAN PBEsol geometry
# Total DFT energy (no corrections), eV for the cell shown: -117.4
# Total magnetic moment, Bohr magnetons per cell: 0.21
# Formation energy (no corrections), eV per atom: -0.113
data_Ca4Br
_symmetry_space_group_name_H-M 'I 4/m m m'
_symmetry_Int_Tables_number 139
_symmetry_space_group_name_Hall '-I 4 2'
_cell_length_a 4.424
_cell_length_b 4.424
_cell_length_c 19.845
_cell_angle_alpha 90.00
_cell_angle_beta 90.00
_cell_angle_gamma 90.00
loop_
_atom_site_label
_atom_site_fract_x
_atom_site_fract_y
_atom_site_fract_z
Ca1 0.000 0.000 0.095
Ca2 0.000 0.500 0.250
Br1 0.000 0.000 0.500


# LaAg2Hg SCAN PBEsol geometry
# Total DFT energy (no corrections), eV for the cell shown: -701.3
# Total magnetic moment, Bohr magnetons per cell: 0.00
# ΔE_f, eV/atom: -0.3272
data_LaAg2Hg
_symmetry_space_group_name_H-M 'F -4 3 m'
_symmetry_Int_Tables_number 216
_symmetry_space_group_name_Hall 'F -4 2 3'
_cell_length_a 7.103
_cell_length_b 7.103
_cell_length_c 7.103
_cell_angle_alpha 90.00
_cell_angle_beta 90.00
_cell_angle_gamma 90.00
loop_
_atom_site_label
_atom_site_fract_x
_atom_site_fract_y
_atom_site_fract_z
La1 0.000 0.000 0.000
Ag1 0.000 0.000 0.500
Ag2 0.250 0.250 0.750
Hg1 0.250 0.250 0.250


# OsRuIO2 SCAN PBEsol geometry
# Total DFT energy (no corrections), eV for the cell shown: -153.3
# Total magnetic moment, Bohr magnetons per cell: 1.26
# Formation energy (no corrections), eV per atom: 0.517
data_OsRuIO2
_symmetry_space_group_name_H-M 'P 4/m m m'
_symmetry_Int_Tables_number 123
_symmetry_space_group_name_Hall '-P 4 2'
_cell_length_a 3.714
_cell_length_b 3.714
_cell_length_c 6.069
_cell_angle_alpha 90.00
_cell_angle_beta 90.00
_cell_angle_gamma 90.00
loop_
_atom_site_label
_atom_site_fract_x
_atom_site_fract_y
_atom_site_fract_z
Os1 0.000 0.000 0.000
Ru1 0.500 0.500 0.500
I1 0.500 0.500 0.000
O1 0.000 0.500 0.500


# LaHf3N SCAN PBEsol geometry
# Total DFT energy (no corrections), eV for the cell shown: -226.7
# Total magnetic moment, Bohr magnetons per cell: 0.00
# Formation energy (no corrections), eV per atom: 2.745
data_LaHf3N
_symmetry_space_group_name_H-M 'P m -3 m'
_symmetry_Int_Tables_number 221
_symmetry_space_group_name_Hall '-P 4 2 3'
_cell_length_a 5.021
_cell_length_b 5.021
_cell_length_c 5.021
_cell_angle_alpha 90.00
_cell_angle_beta 90.00
_cell_angle_gamma 90.00
loop_
_atom_site_label
_atom_site_fract_x
_atom_site_fract_y
_atom_site_fract_z
La1 0.000 0.000 0.000
Hf1 0.000 0.000 0.500
N1 0.500 0.500 0.500


Look up the total DFT energy (no corrections) of the first one.
-117.4 eV for the cell shown